Arrangement P

The following is a PBE-GGA calculation of crystalline Ca3ZrSe at its relaxed geometry, from Alexandria via LeMat-Bulk. Values from VASP.

Summary:
The crystal system is cubic. The spin magnetization is 4.1 μB per formula unit.

Cell and atoms, written as Quantum ESPRESSO input:
```
&SYSTEM
  ibrav = 0, nat = 5, ntyp = 3
/
ATOMIC_SPECIES
Ca 40.08 Ca.upf
Se 78.96 Se.upf
Zr 91.22 Zr.upf
CELL_PARAMETERS angstrom
5.580 0.000 0.000
0.000 5.580 0.000
0.000 0.000 5.580
ATOMIC_POSITIONS crystal
Ca 0.000 0.500 0.000
Ca 0.000 0.000 0.500
Ca 0.500 0.000 0.000
Se 0.000 0.000 0.000
Zr 0.500 0.500 0.500
```

***

Arrangement Q

The following is a PBE-GGA calculation of crystalline Ca3ZrSe at its relaxed geometry, from Alexandria via LeMat-Bulk. Values from VASP.

Summary:
The crystal system is cubic. The spin magnetization is 3.2 μB per formula unit.

Cell and atoms, written as Quantum ESPRESSO input:
```
&SYSTEM
  ibrav = 0, nat = 5, ntyp = 3
/
ATOMIC_SPECIES
Ca 40.08 Ca.upf
Se 78.96 Se.upf
Zr 91.22 Zr.upf
CELL_PARAMETERS angstrom
5.707 0.000 0.000
0.000 5.707 0.000
0.000 0.000 5.707
ATOMIC_POSITIONS crystal
Ca 0.000 0.500 0.000
Ca 0.000 0.000 0.500
Ca 0.500 0.000 0.000
Se 0.500 0.500 0.500
Zr 0.000 0.000 0.000
```

***

Relative to the most stable structure, the computed energies are arrangement P 0; arrangement Q 918, all in meV/atom.

***

Arrangement P

The following is a PBE-GGA calculation of crystalline Ca2Si3 at its relaxed geometry, from Alexandria via LeMat-Bulk. Values from VASP.

Summary:
The crystal system is orthorhombic. The spin magnetization is 0.0 μB per formula unit.

Cell and atoms, written as Quantum ESPRESSO input:
```
&SYSTEM
  ibrav = 0, nat = 10, ntyp = 2
/
ATOMIC_SPECIES
Ca 40.08 Ca.upf
Si 28.09 Si.upf
CELL_PARAMETERS angstrom
-3.173 -3.114 -0.400
0.713 -0.231 -3.854
10.070 -7.356 2.304
ATOMIC_POSITIONS crystal
Ca 0.297 0.750 0.595
Ca 0.703 0.250 0.405
Ca 0.572 0.750 0.144
Ca 0.428 0.250 0.856
Si 0.174 0.750 0.348
Si 0.826 0.250 0.652
Si 0.881 0.750 0.762
Si 0.119 0.250 0.238
Si 0.025 0.250 0.049
Si 0.975 0.750 0.951
```

***

Arrangement Q

The following is a PBE-GGA calculation of crystalline Ca2Si3 at its relaxed geometry, from Alexandria via LeMat-Bulk. Values from VASP.

Summary:
The crystal system is trigonal. The spin magnetization is 0.0 μB per formula unit.

Cell and atoms, written as Quantum ESPRESSO input:
```
&SYSTEM
  ibrav = 0, nat = 5, ntyp = 2
/
ATOMIC_SPECIES
Ca 40.08 Ca.upf
Si 28.09 Si.upf
CELL_PARAMETERS angstrom
-4.171 4.249 7.435
-7.025 4.218 4.856
-6.349 1.107 7.014
ATOMIC_POSITIONS crystal
Ca 0.408 0.408 0.408
Ca 0.592 0.592 0.592
Si 0.000 0.000 0.000
Si 0.818 0.818 0.818
Si 0.182 0.182 0.182
```

***

Relative to the most stable structure, the computed energies are arrangement P 0; arrangement Q 193, all in meV/atom.

***

Arrangement P

The following is a PBE-GGA calculation of crystalline Ca2SiSn at its relaxed geometry, from Alexandria via LeMat-Bulk. Values from VASP.

Summary:
The crystal system is tetragonal. The spin magnetization is 0.0 μB per formula unit.

Cell and atoms, written as Quantum ESPRESSO input:
```
&SYSTEM
  ibrav = 0, nat = 8, ntyp = 3
/
ATOMIC_SPECIES
Ca 40.08 Ca.upf
Si 28.09 Si.upf
Sn 118.71 Sn.upf
CELL_PARAMETERS angstrom
-3.062 -0.513 -7.720
0.841 -8.276 0.217
-4.104 -4.667 -2.546
ATOMIC_POSITIONS crystal
Ca 0.599 0.125 0.250
Ca 0.151 0.625 0.250
Ca 0.375 0.401 0.750
Ca 0.875 0.849 0.750
Si 0.500 0.500 0.000
Si 0.250 0.750 0.500
Sn 0.000 0.000 0.000
Sn 0.750 0.250 0.500
```

***

Arrangement Q

The following is a PBE-GGA calculation of crystalline Ca2SiSn at its relaxed geometry, from Alexandria via LeMat-Bulk. Values from VASP.

Summary:
The crystal system is tetragonal. The spin magnetization is 0.0 μB per formula unit.

Cell and atoms, written as Quantum ESPRESSO input:
```
&SYSTEM
  ibrav = 0, nat = 4, ntyp = 3
/
ATOMIC_SPECIES
Ca 40.08 Ca.upf
Si 28.09 Si.upf
Sn 118.71 Sn.upf
CELL_PARAMETERS angstrom
-0.643 3.104 1.188
-2.213 -1.302 2.205
6.467 -0.934 5.941
ATOMIC_POSITIONS crystal
Ca 0.000 0.000 0.774
Ca 0.000 0.000 0.226
Si 0.500 0.500 0.000
Sn 0.500 0.500 0.500
```

***

Arrangement R

The following is a PBE-GGA calculation of crystalline Ca2SiSn at its relaxed geometry, from Alexandria via LeMat-Bulk. Values from VASP.

Summary:
The crystal system is cubic. The spin magnetization is 0.0 μB per formula unit.

Cell and atoms, written as Quantum ESPRESSO input:
```
&SYSTEM
  ibrav = 0, nat = 4, ntyp = 3
/
ATOMIC_SPECIES
Ca 40.08 Ca.upf
Si 28.09 Si.upf
Sn 118.71 Sn.upf
CELL_PARAMETERS angstrom
3.160 -2.308 3.550
2.135 2.864 3.894
-1.653 -0.658 4.975
ATOMIC_POSITIONS crystal
Ca 0.250 0.250 0.250
Ca 0.750 0.750 0.750
Si 0.000 0.000 0.000
Sn 0.500 0.500 0.500
```

***

Relative to the most stable structure, the computed energies are arrangement P 354; arrangement Q 0; arrangement R 67, all in meV/atom.

***

Arrangement P

The following is a PBE-GGA calculation of crystalline CaSi3Sn at its relaxed geometry, from Alexandria via LeMat-Bulk. Values from VASP.

Summary:
The crystal system is cubic. The spin magnetization is 0.0 μB per formula unit.

Cell and atoms, written as Quantum ESPRESSO input:
```
&SYSTEM
  ibrav = 0, nat = 5, ntyp = 3
/
ATOMIC_SPECIES
Ca 40.08 Ca.upf
Si 28.09 Si.upf
Sn 118.71 Sn.upf
CELL_PARAMETERS angstrom
-4.952 -1.458 0.342
1.353 -3.849 3.182
-0.642 3.136 4.065
ATOMIC_POSITIONS crystal
Ca 0.500 0.500 0.500
Si 0.000 0.500 0.000
Si 0.000 0.000 0.500
Si 0.500 0.000 0.000
Sn 0.000 0.000 0.000
```

***

Arrangement Q

The following is a PBE-GGA calculation of crystalline CaSi3Sn at its relaxed geometry, from Alexandria via LeMat-Bulk. Values from VASP.

Summary:
The crystal system is cubic. The spin magnetization is 0.5 μB per formula unit.

Cell and atoms, written as Quantum ESPRESSO input:
```
&SYSTEM
  ibrav = 0, nat = 5, ntyp = 3
/
ATOMIC_SPECIES
Ca 40.08 Ca.upf
Si 28.09 Si.upf
Sn 118.71 Sn.upf
CELL_PARAMETERS angstrom
5.250 0.000 0.000
0.000 5.250 0.000
0.000 0.000 5.250
ATOMIC_POSITIONS crystal
Ca 0.000 0.000 0.000
Si 0.000 0.500 0.000
Si 0.000 0.000 0.500
Si 0.500 0.000 0.000
Sn 0.500 0.500 0.500
```

***

Relative to the most stable structure, the computed energies are arrangement P 0; arrangement Q 512, all in meV/atom.

***

Arrangement P

The following is a PBE-GGA calculation of crystalline SrCa3Si at its relaxed geometry, from Alexandria via LeMat-Bulk. Values from VASP.

Summary:
The crystal system is cubic. The spin magnetization is 2.0 μB per formula unit.

Cell and atoms, written as Quantum ESPRESSO input:
```
&SYSTEM
  ibrav = 0, nat = 5, ntyp = 3
/
ATOMIC_SPECIES
Sr 87.62 Sr.upf
Ca 40.08 Ca.upf
Si 28.09 Si.upf
CELL_PARAMETERS angstrom
6.083 0.000 0.000
0.000 6.083 0.000
0.000 0.000 6.083
ATOMIC_POSITIONS crystal
Sr 0.000 0.000 0.000
Ca 0.000 0.500 0.000
Ca 0.000 0.000 0.500
Ca 0.500 0.000 0.000
Si 0.500 0.500 0.500
```

***

Arrangement Q

The following is a PBE-GGA calculation of crystalline SrCa3Si at its relaxed geometry, from Alexandria via LeMat-Bulk. Values from VASP.

Summary:
The crystal system is cubic. The spin magnetization is 1.8 μB per formula unit.

Cell and atoms, written as Quantum ESPRESSO input:
```
&SYSTEM
  ibrav = 0, nat = 5, ntyp = 3
/
ATOMIC_SPECIES
Sr 87.62 Sr.upf
Ca 40.08 Ca.upf
Si 28.09 Si.upf
CELL_PARAMETERS angstrom
-1.639 1.669 -5.354
0.765 -5.460 -1.936
-5.556 -1.244 1.313
ATOMIC_POSITIONS crystal
Sr 0.500 0.500 0.500
Ca 0.000 0.500 0.000
Ca 0.000 0.000 0.500
Ca 0.500 0.000 0.000
Si 0.000 0.000 0.000
```

***

Relative to the most stable structure, the computed energies are arrangement P 1438; arrangement Q 0, all in meV/atom.

***

Arrangement P

The following is a PBE-GGA calculation of crystalline SrCa2Si2 at its relaxed geometry, from Alexandria via LeMat-Bulk. Values from VASP.

Summary:
The crystal system is tetragonal. The spin magnetization is 0.0 μB per formula unit.

Cell and atoms, written as Quantum ESPRESSO input:
```
&SYSTEM
  ibrav = 0, nat = 5, ntyp = 3
/
ATOMIC_SPECIES
Sr 87.62 Sr.upf
Ca 40.08 Ca.upf
Si 28.09 Si.upf
CELL_PARAMETERS angstrom
-4.593 -2.789 0.760
1.569 -1.207 5.053
-3.921 2.464 4.721
ATOMIC_POSITIONS crystal
Sr 0.000 0.000 0.000
Ca 0.336 0.336 0.329
Ca 0.664 0.664 0.671
Si 0.750 0.250 0.500
Si 0.250 0.750 0.500
```

***

Arrangement Q

The following is a PBE-GGA calculation of crystalline SrCa2Si2 at its relaxed geometry, from Alexandria via LeMat-Bulk. Values from VASP.

Summary:
The crystal system is monoclinic. The spin magnetization is 0.0 μB per formula unit.

Cell and atoms, written as Quantum ESPRESSO input:
```
&SYSTEM
  ibrav = 0, nat = 10, ntyp = 3
/
ATOMIC_SPECIES
Sr 87.62 Sr.upf
Ca 40.08 Ca.upf
Si 28.09 Si.upf
CELL_PARAMETERS angstrom
4.455 0.000 0.000
0.000 5.325 0.007
0.000 -1.287 12.214
ATOMIC_POSITIONS crystal
Sr 0.250 0.659 0.241
Sr 0.750 0.341 0.759
Ca 0.250 0.853 0.884
Ca 0.750 0.147 0.116
Ca 0.250 0.251 0.510
Ca 0.750 0.749 0.490
Si 0.250 0.783 0.648
Si 0.750 0.217 0.352
Si 0.250 0.377 0.985
Si 0.750 0.623 0.015
```

***

Relative to the most stable structure, the computed energies are arrangement P 323; arrangement Q 0, all in meV/atom.